Below is a relaxed structure of NdDy2ScIn4, with properties calculated at the GGA-PBE level.

Unit cell a=9.212 b=9.212 c=9.212 alpha=33.34 beta=33.34 gamma=33.34
Fractional positions:
Nd: 0.000 0.000 0.000
Dy: 0.249 0.249 0.249
Dy: 0.751 0.751 0.751
Sc: 0.500 0.500 0.500
In: 0.128 0.128 0.128
In: 0.378 0.378 0.378
In: 0.622 0.622 0.622
In: 0.872 0.872 0.872

Results
As for the total energy: -34.79 eV for the cell shown. Its space group is No. 166. The value obtained for the formation enthalpy at 0 K is -0.44 eV/atom. The volume comes out at 210 Å³ per cell.



Below is a relaxed structure of Pr3InRh3, with properties calculated at the GGA-PBE level.

Unit cell a=8.821 b=8.821 c=5.716 alpha=90.00 beta=90.00 gamma=120.00
Fractional positions:
Pr: 0.051 0.357 0.250
Pr: 0.306 0.949 0.250
Pr: 0.357 0.306 0.750
Pr: 0.643 0.694 0.250
Pr: 0.694 0.051 0.750
Pr: 0.949 0.643 0.750
In: 0.333 0.667 0.750
In: 0.667 0.333 0.250
Rh: 0.044 0.357 0.750
Rh: 0.313 0.956 0.750
Rh: 0.357 0.313 0.250
Rh: 0.643 0.687 0.750
Rh: 0.687 0.044 0.250
Rh: 0.956 0.643 0.250

Results
As for the total energy: -83.84 eV for the cell shown. Its space group is No. 176. The value obtained for the formation enthalpy at 0 K is -0.40 eV/atom. The volume comes out at 385 Å³ per cell.



Below is a relaxed structure of HfTiFe4, with properties calculated at the GGA-PBE level.

Unit cell a=4.865 b=4.865 c=4.865 alpha=60.00 beta=60.00 gamma=60.00
Fractional positions:
Hf: 0.000 0.000 0.000
Ti: 0.250 0.250 0.250
Fe: 0.126 0.625 0.625
Fe: 0.625 0.126 0.625
Fe: 0.625 0.625 0.126
Fe: 0.625 0.625 0.625

Results
As for the total energy: -53.63 eV for the cell shown. Its space group is No. 216. The value obtained for the formation enthalpy at 0 K is -0.32 eV/atom. The volume comes out at 81 Å³ per cell.



Below is a relaxed structure of CdAs2Se, with properties calculated at the GGA-PBE level.

Unit cell a=6.450 b=6.450 c=2.807 alpha=90.00 beta=90.00 gamma=130.56
Fractional positions:
Cd: 0.000 0.000 0.000
As: 0.000 0.500 0.500
As: 0.500 0.000 0.500
Se: 0.500 0.500 0.000

Results
As for the total energy: -12.29 eV for the cell shown. Its space group is No. 65. The volume comes out at 89 Å³ per cell.